Ac2YSb3 | PBE | optimized geometry

The structure in POSCAR format:
```
Ac2YSb3
1.0
4.045 -7.007 0.000
4.045 7.007 0.000
-2.706 0.000 7.622
Ac Y Sb
4 2 6
Cartesian
0.000 0.000 0.000
2.692 4.720 3.811
2.692 0.000 3.811
2.692 -4.720 3.811
4.045 2.355 0.000
4.045 -2.355 0.000
1.397 2.421 1.800
0.096 0.000 5.853
1.397 -2.421 1.800
3.986 2.421 5.822
5.288 0.000 1.769
3.986 -2.421 5.822
```

## Properties
N(E_F) = 0.131 states/eV per atom
Magnetic moment = 0.0000 μB per atom
VASP energy = -5.679 eV per atom
Raw formation energy = -7.027 eV per formula unit